Record 1
Below is a relaxed PaGaTcNi crystal, with properties calculated at the PBE level.

Lattice parameters (Å, degrees): 6.4705 6.4705 6.4705 90.00 90.00 90.00
Closest atoms and distances in Å follow each position.
Atoms (fractional coordinates):
Pa 0.0000 0.0000 0.0000  4 Tc 2.80, 4 Ni 2.80
Pa 0.0000 0.5000 0.5000  4 Tc 2.80, 4 Ni 2.80
Pa 0.5000 0.0000 0.5000  4 Tc 2.80, 4 Ni 2.80
Pa 0.5000 0.5000 0.0000  4 Tc 2.80, 4 Ni 2.80
Ga 0.0000 0.0000 0.5000  4 Tc 2.80, 4 Ni 2.80
Ga 0.0000 0.5000 0.0000  4 Tc 2.80, 4 Ni 2.80
Ga 0.5000 0.0000 0.0000  4 Tc 2.80, 4 Ni 2.80
Ga 0.5000 0.5000 0.5000  4 Tc 2.80, 4 Ni 2.80
Tc 0.2500 0.2500 0.7500  4 Pa 2.80, 4 Ga 2.80
Tc 0.2500 0.7500 0.2500  4 Pa 2.80, 4 Ga 2.80
Tc 0.7500 0.2500 0.2500  4 Pa 2.80, 4 Ga 2.80
Tc 0.7500 0.7500 0.7500  4 Ga 2.80, 4 Pa 2.80
Ni 0.2500 0.2500 0.2500  4 Pa 2.80, 4 Ga 2.80
Ni 0.2500 0.7500 0.7500  4 Pa 2.80, 4 Ga 2.80
Ni 0.7500 0.2500 0.7500  4 Pa 2.80, 4 Ga 2.80
Ni 0.7500 0.7500 0.2500  4 Pa 2.80, 4 Ga 2.80

Values from the calculation:
Symmetry   F-43m, No. 216

=====

Record 2
Below is a relaxed NaAg4Pd4 crystal, with properties calculated at the PBE level.

Lattice parameters (Å, degrees): 6.4647 6.4647 6.4647 95.60 95.60 143.59
Closest atoms and distances in Å follow each position.
Atoms (fractional coordinates):
Na 0.0000 0.0000 0.0000  8 Ag 2.90, 4 Pd 2.95
Ag 0.3301 0.3301 0.6602  4 Ag 2.82-2.95, 6 Pd 2.87-2.90, 2 Na 2.90
Ag 0.3301 0.6699 0.0000  4 Ag 2.82-2.95, 6 Pd 2.87-2.90, 2 Na 2.90
Ag 0.6699 0.3301 0.0000  4 Ag 2.82-2.95, 6 Pd 2.87-2.90, 2 Na 2.90
Ag 0.6699 0.6699 0.3398  4 Ag 2.82-2.95, 6 Pd 2.87-2.90, 2 Na 2.90
Pd 0.0000 0.3392 0.3392  5 Pd 2.79-2.83, 6 Ag 2.87-2.90, 1 Na 2.95
Pd 0.0000 0.6608 0.6608  5 Pd 2.79-2.83, 6 Ag 2.87-2.90, 1 Na 2.95
Pd 0.3392 0.0000 0.3392  5 Pd 2.79-2.83, 6 Ag 2.87-2.90, 1 Na 2.95
Pd 0.6608 0.0000 0.6608  5 Pd 2.79-2.83, 6 Ag 2.87-2.90, 1 Na 2.95

Values from the calculation:
Symmetry   I4/mmm, No. 139

=====

no.,magnetic moment (μB per formula unit),E (eV/cell)
1,0.00,-118.6
2,0.00,-33.9